# Cs3NaCo2F8

A geometry-optimized Cs3NaCo2F8 structure (PBE with a Hubbard U, Alexandria via LeMat-Bulk).

abc: 6.3368 6.3368 8.2647
angles: 90.00 90.00 120.00
Element x y z (fractional)
Cs1 0.3333 0.6667 0.6553
Cs2 0.6667 0.3333 0.3447
Cs3 0.0000 0.0000 0.0000
Na1 0.0000 0.0000 0.5000
Co1 0.3333 0.6667 0.2263
Co2 0.6667 0.3333 0.7737
F1 0.3333 0.6667 0.9972
F2 0.6667 0.3333 0.0028
F3 0.1708 0.8292 0.3223
F4 0.8292 0.1708 0.6777
F5 0.1708 0.3417 0.3223
F6 0.8292 0.6583 0.6777
F7 0.6583 0.8292 0.3223
F8 0.3417 0.1708 0.6777

Its density of states at the Fermi level is 0.00 states/eV/cell. The total moment is 0.4286 μB per atom. For the electronic total energy, the calculation gives -63.8 eV for the cell shown.